An optimized crystal structure of EuTmIr. Source: Alexandria, functional PBE.

Calculated values
* ΔE to the lowest computed polymorph: 30 meV/atom
* ΔH_f (0 K): -1.48 eV per formula unit
* space group: I4mm, No. 107
* DOS at the Fermi energy: 8.72 states/eV/f.u.

a b c (Å): 3.4493 3.4493 7.0557
angles (deg): 104.15 104.15 90.00
Each line ends with the local moment (μB).
Positions (direct):
Eu 0.0330 0.0330 0.0660  6.83
Ir 0.6786 0.6786 0.3572  -0.12
Tm 0.2884 0.2884 0.5768  0.05